The following is a PBE-GGA calculation of a relaxed structure of LiDy8Tl2, from the Alexandria database.

Calculated values
Total energy   -44.278 eV/cell
Magnetization   0.0 μB per formula unit
Symmetry   C2/m (12)
Crystal system   monoclinic
Formation enthalpy at 0 K   -74 meV/atom

Cell lengths 9.302, 9.302, 6.912 Å; angles 99.33, 99.33, 32.79 degrees
Atoms (fractional coordinates):
Li: 0.000 0.000 0.000
Dy: 0.091 0.091 0.449
Dy: 0.157 0.157 0.945
Dy: 0.316 0.316 0.730
Dy: 0.473 0.473 0.244
Dy: 0.527 0.527 0.756
Dy: 0.684 0.684 0.270
Dy: 0.843 0.843 0.055
Dy: 0.909 0.909 0.551
Tl: 0.296 0.296 0.276
Tl: 0.704 0.704 0.724



The following is a PBE-GGA calculation of a relaxed structure of Li3DyTl2, from the Alexandria database.

Calculated values
Total energy   -33.059 eV/cell
Magnetization   0.0 μB per formula unit
Symmetry   C2/m (12)
Crystal system   monoclinic
Formation enthalpy at 0 K   -242 meV/atom

Cell lengths 7.570, 7.570, 9.178 Å; angles 119.04, 119.04, 35.31 degrees
Atoms (fractional coordinates):
Li: 0.051 0.051 0.393
Li: 0.259 0.259 0.428
Li: 0.408 0.408 0.315
Li: 0.592 0.592 0.685
Li: 0.741 0.741 0.572
Li: 0.949 0.949 0.607
Dy: 0.134 0.134 0.007
Dy: 0.866 0.866 0.993
Tl: 0.211 0.211 0.741
Tl: 0.441 0.441 0.794
Tl: 0.559 0.559 0.206
Tl: 0.789 0.789 0.259